# 1
A crystal of Nd4Os6O19 relaxed with PBEsol. Source: Alexandria, functional meta-GGA SCAN.

abc: 8.9921 8.9921 8.9921
angles: 90.00 90.00 90.00
Closest atoms and distances in Å follow each position.
Space group I23 (No. 197)
One atom of each set of equivalent atoms:
Nd 0.1545 0.1545 0.8455 (multiplicity 8)  7 O 2.41-2.50
Os 0.0000 0.1378 0.5000 (multiplicity 12)  6 O 1.94-2.03
O 0.0000 0.0000 0.0000 (multiplicity 2)  4 Nd 2.41
O 0.0000 0.0000 0.3210 (multiplicity 12)  2 Os 2.03
O 0.0083 0.2827 0.3403 (multiplicity 24)  2 Os 1.94-1.97

Summary:
Density of states at the Fermi level = 0.408 states/eV/atom
Final energy = -26.941 eV per atom
Theoretical density = 9.24 Mg/m³
Formation energy (no corrections) = -1.975 eV/atom

# 2
A crystal of NdZnPO relaxed with PBEsol. Source: Alexandria, functional meta-GGA SCAN.

abc: 3.9493 3.9493 30.7487
angles: 90.00 90.00 120.00
Closest atoms and distances in Å follow each position.
Space group R-3m (No. 166, hexagonal axes)
One atom of each set of equivalent atoms:
Nd 0.0000 0.0000 0.1185 (multiplicity 6)  4 O 2.35-2.36
Zn 0.0000 0.0000 0.3040 (multiplicity 6)  4 P 2.39-2.51
P 0.0000 0.0000 0.3858 (multiplicity 6)  4 Zn 2.39-2.51
O 0.0000 0.0000 0.1950 (multiplicity 6)  4 Nd 2.35-2.36

Summary:
Density of states at the Fermi level = 0.000 states/eV/atom
Final energy = -20.463 eV per atom
Theoretical density = 6.16 Mg/m³
Formation energy (no corrections) = -2.032 eV/atom

# 3
A crystal of Nd2Pd2O5 relaxed with PBEsol. Source: Alexandria, functional meta-GGA SCAN.

abc: 6.5461 6.5461 5.5308
angles: 90.00 90.00 90.00
Closest atoms and distances in Å follow each position.
Space group P4_2/m (No. 84)
One atom of each set of equivalent atoms:
Nd 0.1073 0.2613 0.0000 (multiplicity 4)  6 O 2.31-2.57
Pd 0.3066 0.4036 0.5000 (multiplicity 4)  4 O 2.01-2.04
O 0.0000 0.0000 0.2500 (multiplicity 2)  4 Nd 2.31
O 0.1955 0.5961 0.2419 (multiplicity 8)  2 Pd 2.01-2.04

Summary:
Density of states at the Fermi level = 0.000 states/eV/atom
Final energy = -22.839 eV per atom
Theoretical density = 8.15 Mg/m³
Formation energy (no corrections) = -2.410 eV/atom